Entry 1:
The following is a GGA-PBE calculation of a geometry-optimized BaHf2ZrAg structure, from Alexandria via LeMat-Bulk.

Calculated values
The symmetry is P4/mmm (123). The calculated formation energy is 0.80 eV per atom.

a = 5.2313 Å, b = 5.2313 Å, c = 5.6605 Å
α = 90.00°, β = 90.00°, γ = 90.00°
With the nearest neighbours (Å) after each atom.
Sites, in units of the cell vectors:
Ba 0.0000 0.0000 0.0000  4 Ag 3.70, 8 Hf 3.85
Hf 0.0000 0.5000 0.5000  2 Zr 2.62
Hf 0.5000 0.0000 0.5000  2 Zr 2.62
Zr 0.5000 0.5000 0.5000  4 Hf 2.62, 2 Ag 2.83
Ag 0.5000 0.5000 0.0000  2 Zr 2.83

---

Entry 2:
The following is a GGA-PBE calculation of a geometry-optimized NbP3Br structure, from Alexandria via LeMat-Bulk.

Calculated values
As for the formation energy without anion corrections: 1.544 eV per atom. The symmetry is Pm-3m (221).

a = 4.6384 Å, b = 4.6384 Å, c = 4.6384 Å
α = 90.00°, β = 90.00°, γ = 90.00°
With the nearest neighbours (Å) after each atom.
Sites, in units of the cell vectors:
Nb 0.0000 0.0000 0.0000  12 P 3.28
P 0.0000 0.5000 0.5000  2 Br 2.32
P 0.5000 0.0000 0.5000  2 Br 2.32
P 0.5000 0.5000 0.0000  2 Br 2.32
Br 0.5000 0.5000 0.5000  6 P 2.32

---

Entry 3:
The following is a GGA-PBE calculation of a geometry-optimized EuHoRh structure, from Alexandria via LeMat-Bulk.

Calculated values
The symmetry is F-43m (216). The calculated formation energy is -0.44 eV per atom.

a = 6.8858 Å, b = 6.8858 Å, c = 6.8858 Å
α = 90.00°, β = 90.00°, γ = 90.00°
With the nearest neighbours (Å) after each atom.
Sites, in units of the cell vectors:
Eu 0.0000 0.0000 0.0000  4 Rh 2.98
Eu 0.0000 0.5000 0.5000  4 Rh 2.98
Eu 0.5000 0.0000 0.5000  4 Rh 2.98
Eu 0.5000 0.5000 0.0000  4 Rh 2.98
Ho 0.0000 0.0000 0.5000  4 Rh 2.98
Ho 0.0000 0.5000 0.0000  4 Rh 2.98
Ho 0.5000 0.0000 0.0000  4 Rh 2.98
Ho 0.5000 0.5000 0.5000  4 Rh 2.98
Rh 0.2500 0.2500 0.7500  4 Ho 2.98, 4 Eu 2.98
Rh 0.2500 0.7500 0.2500  4 Ho 2.98, 4 Eu 2.98
Rh 0.7500 0.2500 0.2500  4 Ho 2.98, 4 Eu 2.98
Rh 0.7500 0.7500 0.7500  4 Ho 2.98, 4 Eu 2.98

---

| no. | total moment (μB/cell) | total energy (eV for the cell shown) |
| --- | --- | --- |
| 1 | 0.00 | -29.208 |
| 2 | 0.00 | -20.253 |
| 3 | 28.11 | -94.121 |